(1)
Material: SiSe2
Method: DFT, GGA-PBEsol
State: relaxed

The crystal system is monoclinic. The calculation puts the formation energy without anion corrections at -0.412 eV per atom.

The space group is P2_1/c (No. 14) and the conventional cell measures 6.238, 17.347 and 6.125 Å, with angles of 90.00, 99.49 and 90.00 degrees. Symmetry generates all atoms from Si at (0.118, 0.065, 0.120), Si at (0.349, 0.196, 0.355), Se at (0.011, 0.046, 0.747), Se at (0.016, 0.679, 0.267), Se at (0.474, 0.192, 0.729) and Se at (0.483, 0.081, 0.245).



(2)
Material: SiSe2
Method: DFT, GGA-PBEsol
State: relaxed

The crystal system is tetragonal. The calculation puts the formation energy without anion corrections at -0.397 eV per atom.

The space group is I4/mcm (No. 140) and the conventional cell measures 7.865, 7.865 and 5.893 Å, with angles of 90.00, 90.00 and 90.00 degrees. Symmetry generates all atoms from Si at (0.000, 0.500, 0.250) and Se at (0.158, 0.342, 0.000).



(3)
Material: SiSe3
Method: DFT, GGA-PBEsol
State: relaxed

The crystal system is orthorhombic. The calculation puts the formation energy without anion corrections at 0.327 eV per atom.

The space group is Pmmm (No. 47) and the conventional cell measures 2.621, 5.047 and 6.755 Å, with angles of 90.00, 90.00 and 90.00 degrees. Symmetry generates all atoms from Si at (0.000, 0.000, 0.000), Se at (0.000, 0.500, 0.000) and Se at (0.500, 0.257, 0.500).



(4)
Material: SiSn2Se
Method: DFT, GGA-PBEsol
State: relaxed

The crystal system is cubic. The calculation puts the formation energy without anion corrections at 0.178 eV per atom.

The space group is Fm-3m (No. 225) and the conventional cell measures 7.017, 7.017 and 7.017 Å, with angles of 90.00, 90.00 and 90.00 degrees. Symmetry generates all atoms from Si at (0.000, 0.000, 0.000), Sn at (0.250, 0.250, 0.250) and Se at (0.000, 0.000, 0.500).



(5)
Material: SrSiSe2
Method: DFT, GGA-PBEsol
State: relaxed

The crystal system is cubic. The calculation puts the formation energy without anion corrections at -0.150 eV per atom.

The space group is F-43m (No. 216) and the conventional cell measures 7.186, 7.186 and 7.186 Å, with angles of 90.00, 90.00 and 90.00 degrees. Symmetry generates all atoms from Sr at (0.000, 0.000, 0.000), Si at (0.250, 0.250, 0.750), Se at (0.000, 0.000, 0.500) and Se at (0.250, 0.250, 0.250).



(6)
Material: SrSiSe2
Method: DFT, GGA-PBEsol
State: relaxed

The crystal system is monoclinic. The calculation puts the formation energy without anion corrections at -1.032 eV per atom.

The space group is Cm (No. 8) and the conventional cell measures 11.402, 3.964 and 4.328 Å, with angles of 90.00, 91.82 and 90.00 degrees. Symmetry generates all atoms from Sr at (0.000, 0.000, 0.000), Si at (0.274, 0.500, 0.466), Se at (0.071, 0.500, 0.508) and Se at (0.282, 0.000, 0.083).